The following is a DFT calculation (PBE) of a relaxed structure of Na3UO4.

```
Na3UO4
1.0
-2.112 4.817 -2.799
-4.355 -2.814 2.865
1.224 3.768 5.561
Na U O
6 2 8
direct
0.750 0.000 0.378
0.250 0.000 0.622
0.750 0.500 0.598
0.750 0.500 0.131
0.250 0.500 0.402
0.250 0.500 0.869
0.750 0.000 0.862
0.250 0.000 0.138
0.964 0.230 0.653
0.496 0.204 0.903
0.464 0.230 0.347
0.996 0.204 0.097
0.004 0.796 0.903
0.536 0.770 0.653
0.504 0.796 0.097
0.036 0.770 0.347
```

Computed properties:
Space-group type   P2/c, No. 13
Volume   14.1 Å³/atom
VASP energy   -6.785 eV/atom
E_form (uncorrected)   -2.40 eV/atom
Distance to the lowest polymorph of the same formula   0.000 eV per atom